1.
A plane-wave DFT calculation with GGA-PBE was carried out for crystalline CeZrGaAu at its relaxed geometry.

```
CeZrGaAu
1.0
5.034 0.000 0.000
2.517 4.359 0.000
2.517 1.453 4.110
Ga Au Zr Ce
1 1 1 1
direct
0.250 0.250 0.250
0.750 0.750 0.750
0.000 0.000 0.000
0.500 0.500 0.500
```

Computed properties:
Formation enthalpy at 0 K   -396.4 meV per atom
Magnetization   2.22 μB/cell
Theoretical density   9.17 g cm⁻³
E_tot   -5.59 eV per atom
SG   F-43m, No. 216


2.
A plane-wave DFT calculation with GGA-PBE was carried out for crystalline Ce2GdAu at its relaxed geometry.

```
Ce2GdAu
1.0
5.590 0.000 0.000
0.000 4.269 0.000
0.000 0.000 4.269
Gd Au Ce
1 1 2
direct
0.500 0.500 0.500
0.500 0.000 0.000
0.000 0.000 0.500
0.000 0.500 0.000
```

Computed properties:
Formation enthalpy at 0 K   -233.2 meV per atom
Magnetization   8.83 μB/cell
Theoretical density   10.34 g cm⁻³
E_tot   -7.54 eV per atom
SG   P4/mmm, No. 123
Excess energy over the best structure of this formula in the dataset   0 meV per atom


3.
A plane-wave DFT calculation with GGA-PBE was carried out for crystalline CeGd2Au at its relaxed geometry.

```
CeGd2Au
1.0
-0.654 -0.992 3.440
-1.348 -3.171 -1.171
7.505 -3.359 0.459
Gd Au Ce
2 1 1
direct
0.000 0.000 0.785
0.000 0.000 0.215
0.500 0.500 0.000
0.500 0.500 0.500
```

Computed properties:
Formation enthalpy at 0 K   -349.9 meV per atom
Magnetization   13.96 μB/cell
Theoretical density   9.92 g cm⁻³
E_tot   -9.69 eV per atom
SG   P4/mmm, No. 123
Excess energy over the best structure of this formula in the dataset   0 meV per atom


4.
A plane-wave DFT calculation with GGA-PBE was carried out for crystalline CeGd2Au at its relaxed geometry.

```
CeGd2Au
1.0
-0.965 -3.007 -1.703
-1.636 -2.120 4.671
-4.921 2.033 -0.801
Gd Au Ce
2 1 1
direct
0.000 0.000 0.500
0.000 0.500 0.000
0.500 0.000 0.000
0.500 0.500 0.500
```

Computed properties:
Formation enthalpy at 0 K   -232.0 meV per atom
Magnetization   15.11 μB/cell
Theoretical density   10.40 g cm⁻³
E_tot   -9.58 eV per atom
SG   P4/mmm, No. 123
Excess energy over the best structure of this formula in the dataset   118 meV per atom


5.
A plane-wave DFT calculation with GGA-PBE was carried out for crystalline CeGdAu2 at its relaxed geometry.

```
CeGdAu2
1.0
-3.235 -2.557 -0.349
0.579 -4.096 0.109
-1.751 -2.141 7.376
Gd Au Ce
1 2 1
direct
0.500 0.500 0.500
0.751 0.751 0.746
0.249 0.249 0.254
0.000 0.000 0.000
```

Computed properties:
Formation enthalpy at 0 K   -592.1 meV per atom
Magnetization   8.45 μB/cell
Theoretical density   10.31 g cm⁻³
E_tot   -7.23 eV per atom
SG   R-3m, No. 166
Excess energy over the best structure of this formula in the dataset   121 meV per atom


6.
A plane-wave DFT calculation with GGA-PBE was carried out for crystalline Ce2GdAu at its relaxed geometry.

```
Ce2GdAu
1.0
-0.349 3.255 -4.167
-4.052 3.394 -0.379
0.832 5.200 0.624
Gd Au Ce
1 1 2
direct
0.000 0.000 0.000
0.500 0.500 0.500
0.750 0.750 0.750
0.250 0.250 0.250
```

Computed properties:
Formation enthalpy at 0 K   -98.8 meV per atom
Magnetization   10.15 μB/cell
Theoretical density   10.00 g cm⁻³
E_tot   -7.41 eV per atom
SG   Fm-3m, No. 225
Excess energy over the best structure of this formula in the dataset   134 meV per atom


7.
A plane-wave DFT calculation with GGA-PBE was carried out for crystalline CeGdAu2 at its relaxed geometry.

```
CeGdAu2
1.0
-1.775 -4.598 1.616
3.118 -3.204 2.630
-0.809 -0.837 5.055
Gd Au Ce
1 2 1
direct
0.000 0.000 0.000
0.250 0.250 0.250
0.750 0.750 0.750
0.500 0.500 0.500
```

Computed properties:
Formation enthalpy at 0 K   -708.6 meV per atom
Magnetization   8.23 μB/cell
Theoretical density   11.63 g cm⁻³
E_tot   -7.35 eV per atom
SG   Fm-3m, No. 225
Excess energy over the best structure of this formula in the dataset   5 meV per atom


8.
A plane-wave DFT calculation with GGA-PBE was carried out for crystalline Ce2GdAu at its relaxed geometry.

```
Ce2GdAu
1.0
3.810 0.000 0.000
0.000 3.810 0.000
0.000 0.000 7.818
Gd Au Ce
1 1 2
direct
0.500 0.500 0.500
0.500 0.500 0.000
0.000 0.000 0.794
0.000 0.000 0.206
```

Computed properties:
Formation enthalpy at 0 K   -210.9 meV per atom
Magnetization   9.33 μB/cell
Theoretical density   9.29 g cm⁻³
E_tot   -7.52 eV per atom
SG   P4/mmm, No. 123
Excess energy over the best structure of this formula in the dataset   22 meV per atom


9.
A plane-wave DFT calculation with GGA-PBE was carried out for crystalline CeGd2Au at its relaxed geometry.

```
CeGd2Au
1.0
-3.314 -1.038 0.013
-0.864 -3.030 1.459
-2.981 3.841 10.345
Gd Au Ce
2 1 1
direct
0.084 0.084 0.747
0.916 0.916 0.253
0.000 0.000 0.000
0.500 0.500 0.500
```

Computed properties:
Formation enthalpy at 0 K   147.1 meV per atom
Magnetization   13.77 μB/cell
Theoretical density   9.21 g cm⁻³
E_tot   -9.20 eV per atom
SG   R-3m, No. 166
Excess energy over the best structure of this formula in the dataset   497 meV per atom


10.
A plane-wave DFT calculation with GGA-PBE was carried out for crystalline CeGdAu2 at its relaxed geometry.

```
CeGdAu2
1.0
-1.954 -2.884 -1.007
2.880 -2.138 0.536
-2.105 -1.054 7.106
Gd Au Ce
1 2 1
direct
0.500 0.500 0.000
0.000 0.000 0.763
0.000 0.000 0.237
0.500 0.500 0.500
```

Computed properties:
Formation enthalpy at 0 K   -713.5 meV per atom
Magnetization   8.25 μB/cell
Theoretical density   11.66 g cm⁻³
E_tot   -7.36 eV per atom
SG   P4/mmm, No. 123
Excess energy over the best structure of this formula in the dataset   0 meV per atom


11.
A plane-wave DFT calculation with GGA-PBE was carried out for crystalline CeGdGeAu at its relaxed geometry.

```
CeGdGeAu
1.0
5.168 0.000 0.000
2.584 4.476 0.000
2.584 1.492 4.220
Ge Gd Au Ce
1 1 1 1
direct
0.500 0.500 0.500
0.750 0.750 0.750
0.000 0.000 0.000
0.250 0.250 0.250
```

Computed properties:
Formation enthalpy at 0 K   -686.5 meV per atom
Magnetization   8.85 μB/cell
Theoretical density   9.65 g cm⁻³
E_tot   -7.66 eV per atom
SG   F-43m, No. 216


12.
A plane-wave DFT calculation with GGA-PBE was carried out for crystalline CeGdHgAu at its relaxed geometry.

```
CeGdHgAu
1.0
-0.954 3.709 -3.626
-4.341 -0.282 -2.981
-3.925 3.448 0.724
Gd Au Hg Ce
1 1 1 1
direct
0.750 0.750 0.750
0.000 0.000 0.000
0.500 0.500 0.500
0.250 0.250 0.250
```

Computed properties:
Formation enthalpy at 0 K   -531.9 meV per atom
Magnetization   8.18 μB/cell
Theoretical density   11.12 g cm⁻³
E_tot   -6.43 eV per atom
SG   F-43m, No. 216